# NaSmSeO

NaSmSeO after structural relaxation (PBE-GGA, OQMD).

It has space group P4/nmm (No. 129, origin choice 2), with a = 4.070 Å, b = 4.070 Å, c = 9.608 Å, α = 90.00°, β = 90.00° and γ = 90.00°. The asymmetric unit holds Na at (0.250, 0.750, 0.000), Sm at (0.250, 0.250, 0.384), Se at (0.250, 0.250, 0.796) and O at (0.250, 0.750, 0.500).

The calculation puts the distance to the lowest polymorph of the same formula at 0.035 eV/atom. Its total energy is -23.284 eV/f.u.